Entry from Alexandria via LeMat-Bulk: an optimized crystal structure of LiDy2Cd4 (PBE).

Properties
final energy: -2.27 eV/atom

abc: 5.1784 5.1784 21.5365
angles: 90.00 90.00 120.00
Last column: nearest neighbours and their distance in Å.
Space group R-3m (No. 166, hexagonal axes)
Asymmetric unit:
Li (0.0000, 0.0000, 0.0000)  2 Cd 2.74
Dy (0.0000, 0.0000, 0.2791)  8 Cd 3.11-3.38, 3 Li 3.21
Cd (0.0000, 0.0000, 0.1274)  1 Li 2.74
Cd (0.0000, 0.0000, 0.4269)  4 Cd 3.08-3.15, 4 Dy 3.11-3.18

=====

Entry from Alexandria via LeMat-Bulk: an optimized crystal structure of Ba2SnIrPd (PBE).

Properties
final energy: -4.00 eV/atom

abc: 6.4997 6.4997 4.8592
angles: 90.00 90.00 90.00
Last column: nearest neighbours and their distance in Å.
Space group P4/mmm (No. 123)
Asymmetric unit:
Ba (0.0000, 0.5000, 0.0000)  2 Sn 3.25
Sn (0.0000, 0.0000, 0.0000)  2 Ir 2.43
Ir (0.0000, 0.0000, 0.5000)  2 Sn 2.43
Pd (0.5000, 0.5000, 0.5000)  8 Ba 4.06

=====

Entry from Alexandria via LeMat-Bulk: an optimized crystal structure of Y3Ge3Os (PBE).

Properties
final energy: -7.12 eV/atom

abc: 10.8070 4.2906 13.8763
angles: 90.00 110.73 90.00
Last column: nearest neighbours and their distance in Å.
Space group C2/m (No. 12)
Asymmetric unit:
Y (0.0202, 0.0000, 0.3765)  6 Ge 2.94-3.16, 4 Os 3.13-3.17
Y (0.1002, 0.0000, 0.9203)  7 Ge 2.97-3.24
Y (0.2411, 0.0000, 0.2309)  6 Ge 2.93-3.23
Ge (0.0435, 0.5000, 0.2394)  1 Os 2.60, 1 Ge 2.72
Ge (0.1222, 0.5000, 0.0738)  2 Ge 2.71-2.72, 5 Y 2.97-3.00
Ge (0.1356, 0.5000, 0.5442)  3 Os 2.46-2.52, 1 Ge 2.75
Os (0.2456, 0.5000, 0.4115)  4 Ge 2.46-2.60

=====

Entry from Alexandria via LeMat-Bulk: an optimized crystal structure of MnCdTe2 (PBE).

Properties
formation energy (no corrections): 39 kJ/mol of formula units

abc: 3.8155 5.7338 10.0207
angles: 90.00 90.00 90.00
Last column: nearest neighbours and their distance in Å.
Space group Cmmm (No. 65)
Asymmetric unit:
Mn (0.0000, 0.0000, 0.0000)  4 Te 2.68
Cd (0.0000, 0.0000, 0.5000)  6 Cd 3.44-3.82, 4 Te 3.66
Te (0.0000, 0.5000, 0.1882)  2 Mn 2.68

=====

Entry from Alexandria via LeMat-Bulk: an optimized crystal structure of Nd2Zn6Ni3 (PBE).

Properties
final energy: -3.41 eV/atom

abc: 7.5124 7.5124 3.9536
angles: 90.00 90.00 120.00
Last column: nearest neighbours and their distance in Å.
Space group P-62m (No. 189)
Asymmetric unit:
Nd (0.3333, 0.6667, 0.0000)  6 Ni 3.05, 9 Zn 3.14-3.36
Zn (0.0000, 0.2823, 0.5000)  3 Ni 2.47-2.61, 4 Zn 2.73
Zn (0.0000, 0.8023, 0.0000)  2 Ni 2.44, 6 Zn 2.57-2.73
Ni (0.0000, 0.6116, 0.5000)  5 Zn 2.44-2.61

=====

Entry from Alexandria via LeMat-Bulk: an optimized crystal structure of NiIr2Br (PBE).

Properties
offset from the most stable computed form: 0.92 eV/f.u.
formation energy (no corrections): 270 kJ/mol of formula units

abc: 2.8155 2.8155 27.3383
angles: 90.00 90.00 120.00
Last column: nearest neighbours and their distance in Å.
Space group R-3m (No. 166, hexagonal axes)
Asymmetric unit:
Ni (0.0000, 0.0000, 0.0000)  6 Ir 2.52, 6 Ni 2.82
Ir (0.0000, 0.0000, 0.2627)  3 Ni 2.52, 6 Ir 2.82
Br (0.0000, 0.0000, 0.5000)  6 Br 2.82, 6 Ir 3.09

=====

Entry from Alexandria via LeMat-Bulk: an optimized crystal structure of AcNd2Pd2 (PBE).

Properties
offset from the most stable computed form: 0.00 eV/f.u.

abc: 5.4406 4.9602 11.0584
angles: 90.00 95.45 90.00
Last column: nearest neighbours and their distance in Å.
Space group P2_1/m (No. 11)
Asymmetric unit:
Ac (0.1906, 0.2500, 0.2299)  3 Pd 3.17-3.41
Nd (0.2492, 0.7500, 0.4985)  4 Pd 2.86-3.06
Nd (0.3319, 0.2500, 0.8894)  5 Pd 2.88-3.05
Pd (0.1562, 0.7500, 0.0172)  4 Nd 2.88-3.05, 2 Pd 3.01, 1 Ac 3.17
Pd (0.2730, 0.2500, 0.6272)  5 Nd 2.86-3.06

=====

Entry from Alexandria via LeMat-Bulk: an optimized crystal structure of LiTlGa4 (PBE).

Properties
final energy: -2.78 eV/atom

abc: 7.9456 7.9456 7.9456
angles: 90.00 90.00 90.00
Last column: nearest neighbours and their distance in Å.
Space group F-43m (No. 216)
Asymmetric unit:
Li (0.0000, 0.0000, 0.0000)  12 Ga 3.29, 4 Tl 3.44
Tl (0.2500, 0.2500, 0.7500)  12 Ga 3.30, 4 Li 3.44
Ga (0.1255, 0.1255, 0.3745)  6 Ga 2.80-2.82

=====

Number 2 is which compound?
Ba2SnIrPd

=====

Number 8 is which compound?
LiTlGa4

=====

Copy entry 4 word for word.
Entry from Alexandria via LeMat-Bulk: an optimized crystal structure of MnCdTe2 (PBE).

Properties
formation energy (no corrections): 39 kJ/mol of formula units

abc: 3.8155 5.7338 10.0207
angles: 90.00 90.00 90.00
Last column: nearest neighbours and their distance in Å.
Space group Cmmm (No. 65)
Asymmetric unit:
Mn (0.0000, 0.0000, 0.0000)  4 Te 2.68
Cd (0.0000, 0.0000, 0.5000)  6 Cd 3.44-3.82, 4 Te 3.66
Te (0.0000, 0.5000, 0.1882)  2 Mn 2.68